[1]
Here is a geometry-optimized LaHoH2I4 structure from the Open Quantum Materials Database. Energies are from PBE.

a b c (Å): 4.1040 4.1040 16.6463
angles (deg): 90.00 90.00 120.00
With the nearest neighbours (Å) after each atom.
Space group P-6m2 (No. 187)
Inequivalent atoms, fractional coordinates:
La  0.0000  0.0000  0.0000 (multiplicity 1)  3 H 2.37
Ho  0.0000  0.0000  0.5000 (multiplicity 1)  3 H 2.37
H  0.3333  0.6667  0.0000 (multiplicity 1)  3 La 2.37
H  0.6667  0.3333  0.5000 (multiplicity 1)  3 Ho 2.37
I  0.3333  0.6667  0.3760 (multiplicity 2)  3 Ho 3.14, 3 H 3.14
I  0.6667  0.3333  0.1338 (multiplicity 2)  3 La 3.25, 3 H 3.25

Summary:
Energy, eV/cell: -32.25
Total magnetization, μB per cell: 0.00
ρ, Mg/m³: 5.56



[2]
Here is a geometry-optimized TbGePt2 structure from the Open Quantum Materials Database. Energies are from PBE.

a b c (Å): 5.6110 3.8804 7.2204
angles (deg): 90.00 90.79 90.00
With the nearest neighbours (Å) after each atom.
Space group P2_1/m (No. 11)
Inequivalent atoms, fractional coordinates:
Tb  0.1605  0.2500  0.1962 (multiplicity 2)  7 Pt 2.90-3.03
Ge  0.3939  0.2500  0.6731 (multiplicity 2)  5 Pt 2.56-2.66
Pt  0.1913  0.7500  0.5006 (multiplicity 2)  3 Ge 2.56-2.66
Pt  0.3416  0.7500  0.9079 (multiplicity 2)  2 Ge 2.60, 2 Tb 2.90-2.91

Summary:
Energy, eV/cell: -49.38
Total magnetization, μB per cell: 0.01
ρ, Mg/m³: 13.14